Pr4YAl: relaxed, PBE.

a = 6.4500 Å, b = 9.2468 Å, c = 8.4346 Å
α = 113.88°, β = 100.19°, γ = 112.01°
Sites, in units of the cell vectors:
Pr 0.0419 0.1669 0.7734
Pr 0.7642 0.7165 0.6339
Pr 0.2315 0.6064 0.7734
Pr 0.3696 0.9174 0.6339
Pr 0.6304 0.0826 0.3661
Pr 0.7685 0.3936 0.2266
Pr 0.2358 0.2835 0.3661
Pr 0.9581 0.8331 0.2266
Y 0.3397 0.5897 0.1794
Y 0.6603 0.4103 0.8206
Al 0.2499 0.9999 0.9999
Al 0.7501 0.0001 0.0001

Calculated values
Total energy: -4.911 eV/atom
Space-group type: C2/c, No. 15
Spin magnetization: 0.0 μB/cell
N(E_F): 16.43 states/eV per cell
ΔE_f: -0.02 eV per atom

***

Ti3NbRu: relaxed, PBE.

a = 4.6288 Å, b = 4.6288 Å, c = 4.6288 Å
α = 90.00°, β = 90.00°, γ = 90.00°
Sites, in units of the cell vectors:
Ru 0.0000 0.0000 0.0000
Nb 0.5000 0.5000 0.5000
Ti 0.0000 0.5000 0.0000
Ti 0.0000 0.0000 0.5000
Ti 0.5000 0.0000 0.0000

Calculated values
Total energy: -8.049 eV/atom
Space-group type: Pm-3m, No. 221
Spin magnetization: 0.0 μB/cell
N(E_F): 5.46 states/eV per cell
ΔE_f: 0.56 eV per atom

***

RbHgICl2: relaxed, PBE.

a = 6.2045 Å, b = 8.0088 Å, c = 8.7301 Å
α = 98.93°, β = 90.00°, γ = 90.00°
Sites, in units of the cell vectors:
Rb 0.7500 0.2378 0.6488
Rb 0.2500 0.7622 0.3512
Hg 0.2500 0.8868 0.8510
Hg 0.7500 0.1132 0.1490
I 0.7500 0.4465 0.2626
I 0.2500 0.5535 0.7374
Cl 0.7500 0.9407 0.8844
Cl 0.2500 0.0593 0.1156
Cl 0.2500 0.0851 0.6457
Cl 0.7500 0.9149 0.3543

Calculated values
Total energy: -2.346 eV/atom
Space-group type: P2_1/m, No. 11
Spin magnetization: 0.0 μB/cell
N(E_F): 0.00 states/eV per cell
Formation energy (no corrections): -5.22 eV per formula unit

***

B2TeP: relaxed, PBE.

a = 4.2473 Å, b = 4.2473 Å, c = 4.2473 Å
α = 60.00°, β = 60.00°, γ = 60.00°
Sites, in units of the cell vectors:
P 0.0000 0.0000 0.0000
B 0.2500 0.2500 0.2500
B 0.7500 0.7500 0.7500
Te 0.5000 0.5000 0.5000

Calculated values
Total energy: -3.781 eV/atom
Space-group type: Fm-3m, No. 225
Spin magnetization: 0.0 μB/cell
N(E_F): 1.64 states/eV per cell
Formation energy (no corrections): 6.78 eV per formula unit

***

ZnInB: relaxed, PBE.

a = 3.6211 Å, b = 9.3673 Å, c = 3.6156 Å
α = 89.96°, β = 119.96°, γ = 78.55°
Sites, in units of the cell vectors:
Zn 0.0344 0.6287 0.8117
Zn 0.5626 0.8288 0.0754
B 0.2822 0.7490 0.4352
B 0.1608 0.9281 0.3744
In 0.7202 0.0826 0.6539
In 0.5314 0.4063 0.5620

Calculated values
Total energy: -3.175 eV/atom
Space-group type: P1, No. 1
Spin magnetization: 0.0 μB/cell
N(E_F): 1.87 states/eV per cell
ΔE_f: 0.39 eV per atom

***

La2NbGeBi: relaxed, PBE.

a = 5.5687 Å, b = 4.9812 Å, c = 5.5687 Å
α = 90.00°, β = 90.00°, γ = 90.00°
Sites, in units of the cell vectors:
Nb 0.0000 0.0000 0.0000
Ge 0.0000 0.5000 0.0000
Bi 0.5000 0.5000 0.5000
La 0.0000 0.0000 0.5000
La 0.5000 0.0000 0.0000

Calculated values
Total energy: -5.713 eV/atom
Space-group type: P4/mmm, No. 123
Spin magnetization: 0.0 μB/cell
N(E_F): 5.23 states/eV per cell
ΔE_f: -0.03 eV per atom

***

Ho3Tm7Th: relaxed, PBE.

a = 8.5495 Å, b = 6.9502 Å, c = 6.9502 Å
α = 120.00°, β = 90.00°, γ = 90.00°
Sites, in units of the cell vectors:
Ho 0.7825 0.4989 0.5011
Ho 0.7825 0.4989 0.9978
Ho 0.7825 0.0022 0.5011
Tm 0.1207 0.1691 0.8309
Tm 0.1207 0.1691 0.3381
Tm 0.1153 0.6667 0.3333
Tm 0.4474 0.8325 0.1675
Tm 0.4474 0.3349 0.1675
Tm 0.4474 0.8325 0.6650
Tm 0.1207 0.6619 0.8309
Th 0.4480 0.3333 0.6667

Calculated values
Total energy: -4.578 eV/atom
Space-group type: P3m1, No. 156
Spin magnetization: 0.0 μB/cell
N(E_F): 16.94 states/eV per cell
ΔE_f: 0.19 eV per atom

***

BaIn3Sb: relaxed, PBE.

a = 6.2663 Å, b = 6.2663 Å, c = 6.2663 Å
α = 90.00°, β = 90.00°, γ = 90.00°
Sites, in units of the cell vectors:
Sb 0.5000 0.5000 0.5000
Ba 0.0000 0.0000 0.0000
In 0.0000 0.5000 0.0000
In 0.0000 0.0000 0.5000
In 0.5000 0.0000 0.0000

Calculated values
Total energy: -1.966 eV/atom
Space-group type: Pm-3m, No. 221
Spin magnetization: 0.0 μB/cell
N(E_F): 5.06 states/eV per cell
Formation energy (no corrections): 4.43 eV per formula unit

***

HgBi2I2: relaxed, PBE.

a = 8.0178 Å, b = 8.0178 Å, c = 5.4324 Å
α = 90.00°, β = 90.00°, γ = 90.00°
Sites, in units of the cell vectors:
I 0.1921 0.6921 0.5000
I 0.6921 0.8079 0.5000
I 0.8079 0.3079 0.5000
I 0.3079 0.1921 0.5000
Bi 0.3553 0.8553 0.0000
Bi 0.8553 0.6447 0.0000
Bi 0.6447 0.1447 0.0000
Bi 0.1447 0.3553 0.0000
Hg 0.0000 0.0000 0.0000
Hg 0.5000 0.5000 0.0000

Calculated values
Total energy: -2.244 eV/atom
Space-group type: P4/mbm, No. 127
Spin magnetization: 0.0 μB/cell
N(E_F): 3.44 states/eV per cell
Formation energy (no corrections): -0.06 eV per formula unit

***

Pm2YHg6: relaxed, PBE.

a = 3.4839 Å, b = 8.6630 Å, c = 8.6630 Å
α = 120.00°, β = 90.00°, γ = 90.00°
Sites, in units of the cell vectors:
Pm 0.0000 0.3333 0.6667
Pm 0.0000 0.6667 0.3333
Y 0.0000 0.0000 0.0000
Hg 0.5000 0.3317 0.3317
Hg 0.5000 0.6683 0.6683
Hg 0.5000 0.0000 0.6683
Hg 0.5000 0.6683 0.0000
Hg 0.5000 0.3317 0.0000
Hg 0.5000 0.0000 0.3317

Calculated values
Total energy: -2.393 eV/atom
Space-group type: P6/mmm, No. 191
Spin magnetization: 0.4 μB/cell
N(E_F): 6.55 states/eV per cell
ΔE_f: -0.42 eV per atom

***

LiU2Cl8: relaxed, PBE.

a = 3.9098 Å, b = 8.2549 Å, c = 10.0042 Å
α = 81.00°, β = 101.27°, γ = 90.00°
Sites, in units of the cell vectors:
Li 0.5000 0.0000 0.0000
U 0.1502 0.6812 0.3004
U 0.8498 0.3188 0.6996
Cl 0.6046 0.4972 0.2093
Cl 0.3666 0.0669 0.7332
Cl 0.2397 0.3446 0.4794
Cl 0.0134 0.7900 0.0268
Cl 0.7603 0.6554 0.5206
Cl 0.6334 0.9331 0.2668
Cl 0.3954 0.5028 0.7907
Cl 0.9866 0.2100 0.9732

Calculated values
Total energy: -5.295 eV/atom
Space-group type: C2/m, No. 12
Spin magnetization: 5.0 μB/cell
N(E_F): 15.23 states/eV per cell
Formation energy (no corrections): -18.99 eV per formula unit

***

Ac4GeSbSe2: relaxed, PBE.

a = 4.6235 Å, b = 7.9086 Å, c = 8.0438 Å
α = 70.33°, β = 90.00°, γ = 90.00°
Sites, in units of the cell vectors:
Ac 0.0000 0.7491 0.7399
Ac 0.0000 0.2509 0.2601
Ac 0.5000 0.7436 0.2610
Ac 0.5000 0.2564 0.7390
Ge 0.0000 0.5000 0.5000
Sb 0.5000 0.5000 0.0000
Se 0.0000 0.0000 0.0000
Se 0.5000 0.0000 0.5000

Calculated values
Total energy: -5.489 eV/atom
Space-group type: P2/m, No. 10
Spin magnetization: 0.0 μB/cell
N(E_F): 1.94 states/eV per cell
Formation energy (no corrections): -11.77 eV per formula unit